! La2Ga3Hg, relaxed, DFT PBE; values from VASP
! * magnetic moment: 0.00 μB per cell
! * symmetry: Imm2, No. 44
! * excess energy over the best structure of this formula in the dataset: 0.0000 eV/atom
! * calculated formation energy: -0.610 eV per atom
&SYSTEM
  ibrav = 0, nat = 6, ntyp = 3
/
ATOMIC_SPECIES
Hg 200.59 Hg.upf
Ga 69.72 Ga.upf
La 138.91 La.upf
CELL_PARAMETERS angstrom
4.0364 0.0000 -1.0744
-0.3342 4.4179 -1.2555
0.0892 0.0095 8.4544
ATOMIC_POSITIONS crystal
Hg 0.4597 0.9597 0.9194
Ga 0.5457 0.5457 0.0913
La 0.1344 0.1344 0.2687
Ga 0.2900 0.7900 0.5799
Ga 0.7061 0.7061 0.4122
La 0.8642 0.3642 0.7284